SmTlVO4 | GGA+U | relaxed

Computed properties:
E in eV per atom: -7.068
M_tot in μB/f.u.: 1.00
Space-group type: P2_1/m (11)

a b c (Å): 6.2055 5.9548 7.6495
angles (deg): 90.00 103.18 90.00
With the nearest neighbours (Å) after each atom.
Fractional coordinates of all 14 atoms:
Sm (0.1814, 0.2500, 0.0645)  6 O 2.31-2.59
Sm (0.8186, 0.7500, 0.9355)  6 O 2.31-2.59
Tl (0.2847, 0.2500, 0.6041)  1 O 2.55
Tl (0.7153, 0.7500, 0.3959)  1 O 2.55
V (0.3042, 0.7500, 0.8602)  4 O 1.75-1.90
V (0.6958, 0.2500, 0.1398)  4 O 1.75-1.90
O (0.0865, 0.5228, 0.8458)  1 V 1.90
O (0.0865, 0.9772, 0.8458)  1 V 1.90
O (0.4772, 0.7500, 0.0761)  1 V 1.75
O (0.4811, 0.7500, 0.7072)  1 V 1.78
O (0.5189, 0.2500, 0.2928)  1 V 1.78
O (0.5228, 0.2500, 0.9239)  1 V 1.75
O (0.9135, 0.0228, 0.1542)  1 V 1.90
O (0.9135, 0.4772, 0.1542)  1 V 1.90